No. 1
Compound: PrInNO
Source: OQMD via LeMat-Bulk
Functional: PBE
Structure: optimized geometry Values from VASP.

Summary:
magnetic moment = 0.00 μB/atom
energy relative to the lowest polymorph listed for this composition = 0.00 eV per formula unit
space group = P4/nmm (129)

Quantum ESPRESSO input file:
```
&SYSTEM
  ibrav = 0, nat = 8, ntyp = 4
/
ATOMIC_SPECIES
Pr 140.91 Pr.upf
In 114.82 In.upf
N 14.01 N.upf
O 16.00 O.upf
CELL_PARAMETERS angstrom
5.177 0.000 0.000
0.000 5.177 0.000
0.000 0.000 4.848
ATOMIC_POSITIONS crystal
Pr 0.250 0.750 0.000
Pr 0.750 0.250 0.000
In 0.250 0.250 0.500
In 0.750 0.750 0.500
N 0.250 0.250 0.010
N 0.750 0.750 0.990
O 0.250 0.750 0.500
O 0.750 0.250 0.500
```

***

No. 2
Compound: PrInNO
Source: OQMD via LeMat-Bulk
Functional: PBE
Structure: optimized geometry Values from VASP.

Summary:
magnetic moment = 0.00 μB/atom
energy relative to the lowest polymorph listed for this composition = 0.05 eV per formula unit
space group = Pmc2_1 (26)

Quantum ESPRESSO input file:
```
&SYSTEM
  ibrav = 0, nat = 8, ntyp = 4
/
ATOMIC_SPECIES
Pr 140.91 Pr.upf
In 114.82 In.upf
N 14.01 N.upf
O 16.00 O.upf
CELL_PARAMETERS angstrom
4.022 0.000 0.000
0.000 6.412 0.000
0.000 0.000 5.870
ATOMIC_POSITIONS crystal
Pr 0.000 0.197 0.000
Pr 0.000 0.803 0.500
In 0.500 0.313 0.505
In 0.500 0.687 0.005
N 0.500 0.363 0.881
N 0.500 0.637 0.381
O 0.000 0.160 0.404
O 0.000 0.840 0.904
```

***

No. 3
Compound: PrInNO
Source: OQMD via LeMat-Bulk
Functional: PBE
Structure: optimized geometry Values from VASP.

Summary:
magnetic moment = 0.00 μB/atom
energy relative to the lowest polymorph listed for this composition = 0.35 eV per formula unit
space group = P4/nmm (129)

Quantum ESPRESSO input file:
```
&SYSTEM
  ibrav = 0, nat = 8, ntyp = 4
/
ATOMIC_SPECIES
Pr 140.91 Pr.upf
In 114.82 In.upf
N 14.01 N.upf
O 16.00 O.upf
CELL_PARAMETERS angstrom
4.112 0.000 0.000
0.000 4.112 0.000
0.000 0.000 8.288
ATOMIC_POSITIONS crystal
Pr 0.250 0.250 0.139
Pr 0.750 0.750 0.861
In 0.250 0.750 0.500
In 0.750 0.250 0.500
N 0.250 0.250 0.647
N 0.750 0.750 0.353
O 0.250 0.750 0.000
O 0.750 0.250 0.000
```

***

No. 4
Compound: PrInNO
Source: OQMD via LeMat-Bulk
Functional: PBE
Structure: optimized geometry Values from VASP.

Summary:
magnetic moment = 0.00 μB/atom
energy relative to the lowest polymorph listed for this composition = 0.13 eV per formula unit
space group = Pca2_1 (29)

Quantum ESPRESSO input file:
```
&SYSTEM
  ibrav = 0, nat = 16, ntyp = 4
/
ATOMIC_SPECIES
Pr 140.91 Pr.upf
In 114.82 In.upf
N 14.01 N.upf
O 16.00 O.upf
CELL_PARAMETERS angstrom
6.903 0.000 0.000
0.000 7.685 0.000
0.000 0.000 5.522
ATOMIC_POSITIONS crystal
Pr 0.075 0.145 0.000
Pr 0.425 0.145 0.500
Pr 0.575 0.855 0.000
Pr 0.925 0.855 0.500
In 0.112 0.646 0.004
In 0.388 0.646 0.504
In 0.612 0.354 0.004
In 0.888 0.354 0.504
N 0.088 0.126 0.559
N 0.412 0.126 0.059
N 0.588 0.874 0.559
N 0.912 0.874 0.059
O 0.050 0.577 0.624
O 0.450 0.577 0.124
O 0.550 0.423 0.624
O 0.950 0.423 0.124
```

***

Number 1: electronic total energy -6.38 eV per atom. Number 2: electronic total energy -6.37 eV per atom. Number 3: electronic total energy -6.29 eV per atom. Number 4: electronic total energy -6.35 eV per atom.